EuYAlIn | PBE | optimized geometry

For the final energy, the calculation gives -98.69 eV for the cell shown. As for the density of states at the Fermi level: 27.918 states/eV per cell. The calculation puts the formation enthalpy at 0 K at -0.363 eV/atom.

The structure belongs to space group F-43m (No. 216); the cell edges are 7.545, 7.545 and 7.545 Å and the angles 90.00°, 90.00° and 90.00°. The distinct sites, in fractional coordinates, are Eu at (0.000, 0.000, 0.000), Y at (0.000, 0.000, 0.500), Al at (0.250, 0.250, 0.750) and In at (0.250, 0.250, 0.250).

---

GaSnAu2 | PBE | optimized geometry

For the final energy, the calculation gives -41.85 eV for the cell shown. As for the density of states at the Fermi level: 5.802 states/eV per cell. The calculation puts the formation enthalpy at 0 K at -0.091 eV/atom. For the polymorph energy (0 for the lowest one), the calculation gives 2.169 kcal/mol of atoms.

The structure belongs to space group R3m (No. 160, hexagonal axes); the cell edges are 3.8746, 3.8746 and 20.2551 Å and the angles 90.00°, 90.00° and 120.00°. The distinct sites, in fractional coordinates, are Ga at (0.0000, 0.0000, 0.0000), Sn at (0.0000, 0.0000, 0.8307), Au at (0.0000, 0.0000, 0.4063) and Au at (0.0000, 0.0000, 0.5912).

---

GdYAgBi | PBE | optimized geometry

For the final energy, the calculation gives -116.64 eV for the cell shown. As for the density of states at the Fermi level: 18.667 states/eV per cell. The calculation puts the formation enthalpy at 0 K at -0.471 eV/atom.

The structure belongs to space group F-43m (No. 216); the cell edges are 7.551, 7.551 and 7.551 Å and the angles 90.00°, 90.00° and 90.00°. The distinct sites, in fractional coordinates, are Gd at (0.000, 0.000, 0.000), Y at (0.000, 0.000, 0.500), Ag at (0.250, 0.250, 0.750) and Bi at (0.250, 0.250, 0.250).

---

Ba2CaBe | PBE | optimized geometry

For the final energy, the calculation gives -8.40 eV for the cell shown. As for the density of states at the Fermi level: 4.735 states/eV per cell. The calculation puts the formation enthalpy at 0 K at 0.293 eV/atom.

The structure belongs to space group P4/mmm (No. 123); the cell edges are 4.042, 4.042 and 10.061 Å and the angles 90.00°, 90.00° and 90.00°. The distinct sites, in fractional coordinates, are Ba at (0.000, 0.000, 0.184), Ca at (0.500, 0.500, 0.500) and Be at (0.500, 0.500, 0.000).

---

Er4GaSn | PBE | optimized geometry

For the final energy, the calculation gives -112.00 eV for the cell shown. As for the density of states at the Fermi level: 24.654 states/eV per cell. The calculation puts the formation enthalpy at 0 K at -0.453 eV/atom.

The structure belongs to space group C2/c (No. 15); the cell edges are 8.866, 13.486 and 6.057 Å and the angles 90.00°, 115.14° and 90.00°. The distinct sites, in fractional coordinates, are Er at (0.114, 0.181, 0.075), Er at (0.206, 0.422, 0.325), Ga at (0.000, 0.000, 0.250) and Sn at (0.000, 0.377, 0.750).

---

LaHf2BiO8 | PBE | optimized geometry

For the final energy, the calculation gives -200.63 eV for the cell shown. Its raw formation energy is -2.661 eV per atom.

The structure belongs to space group Cmmm (No. 65); the cell edges are 7.076, 7.180 and 6.803 Å and the angles 90.00°, 90.00° and 90.00°. The distinct sites, in fractional coordinates, are La at (0.000, 0.000, 0.000), Hf at (0.000, 0.500, 0.250), Bi at (0.000, 0.000, 0.500), O at (0.000, 0.308, 0.500), O at (0.000, 0.328, 0.000) and O at (0.208, 0.000, 0.275).